(1)
## Pm6InGe (GGA-PBE)

Data for a relaxed Pm6InGe crystal.

a b c (Å): 7.2494 12.0232 6.9479
angles (deg): 90.00 116.85 90.00
Closest atoms and distances in Å follow each position.
Space group C2/m (No. 12)
Symmetry-distinct sites (fractional):
Pm  0.2121  0.1987  0.2495  1 Ge 2.94, 1 In 3.13
Pm  0.2369  0.0000  0.7647  1 Ge 2.86, 1 In 3.19
In  0.0000  0.5000  0.5000  6 Pm 3.13-3.19
Ge  0.0000  0.0000  0.0000  6 Pm 2.86-2.94

Properties
* E_form: -0.085 eV per atom


(2)
## BeSn2Os2 (GGA-PBE)

Data for a relaxed BeSn2Os2 crystal.

a b c (Å): 6.3917 6.3917 4.1381
angles (deg): 90.00 90.00 90.00
Closest atoms and distances in Å follow each position.
Space group P4/mbm (No. 127)
Symmetry-distinct sites (fractional):
Be  0.0000  0.0000  0.0000  4 Os 2.44
Sn  0.1653  0.3347  0.5000  6 Os 2.67-2.88, 1 Sn 2.99
Os  0.1476  0.6476  0.0000  2 Be 2.44, 1 Os 2.67, 2 Sn 2.67

Properties
* E_form: 0.330 eV per atom
* polymorph energy (0 for the lowest one): 0 meV/atom


(3)
## NaHgRu2 (GGA-PBE)

Data for a relaxed NaHgRu2 crystal.

a b c (Å): 7.8501 7.8501 5.0128
angles (deg): 90.00 90.00 90.00
Closest atoms and distances in Å follow each position.
Space group I-42d (No. 122)
Symmetry-distinct sites (fractional):
Na  0.0000  0.0000  0.0000  2 Hg 2.51
Hg  0.0000  0.0000  0.5000  2 Na 2.51, 4 Ru 2.71
Ru  0.2240  0.7500  0.6250  2 Ru 2.54, 2 Hg 2.71

Properties
* E_form: 1.093 eV per atom


(4)
## Dy2PuThSe4 (GGA-PBE)

Data for a relaxed Dy2PuThSe4 crystal.

a b c (Å): 7.0940 4.0670 7.2619
angles (deg): 90.00 108.72 90.00
Closest atoms and distances in Å follow each position.
Space group P2/m (No. 10)
Symmetry-distinct sites (fractional):
Dy  0.0000  0.0000  0.0000  6 Se 2.86
Dy  0.5000  0.5000  0.0000  6 Se 2.89
Pu  0.0000  0.5000  0.5000  6 Se 2.94-2.95
Th  0.5000  0.0000  0.5000  6 Se 2.97-2.98
Se  0.2428  0.5000  0.2380  3 Dy 2.86-2.89, 1 Pu 2.95, 2 Th 2.98
Se  0.2496  0.0000  0.7586  3 Dy 2.86-2.89, 2 Pu 2.94, 1 Th 2.97

Properties
* formation energy without anion corrections: -1649 meV per atom


(5)
## MgAg (GGA-PBE)

Data for a relaxed MgAg crystal.

a b c (Å): 3.0754 3.1151 8.5018
angles (deg): 90.00 90.00 90.00
Closest atoms and distances in Å follow each position.
Space group Amm2 (No. 38)
Symmetry-distinct sites (fractional):
Mg  0.0000  0.0000  0.0000  6 Ag 2.84-2.87, 4 Mg 3.08-3.12
Ag  0.5000  0.0000  0.7192  6 Mg 2.84-2.87, 4 Ag 3.08-3.12

Properties
* E_form: -0.047 eV per atom


Number 4 is which compound?
Dy2PuThSe4